(1)
# Ba5PS8, relaxed, DFT PBE
data_Ba5PS8
_chemical_formula_sum 'Ba10 P2 S16'
_space_group_name_H-M_alt 'I -4'
_space_group_IT_number 82
_cell_length_a 9.1170
_cell_length_b 9.1170
_cell_length_c 11.1327
_cell_angle_alpha 90.00
_cell_angle_beta 90.00
_cell_angle_gamma 90.00
loop_
_space_group_symop_operation_xyz
'x,y,z'
'y,-x,-z'
'-x,-y,z'
'-y,x,-z'
'x+1/2,y+1/2,z+1/2'
'y+1/2,-x+1/2,-z+1/2'
'-x+1/2,-y+1/2,z+1/2'
'-y+1/2,x+1/2,-z+1/2'
loop_
_atom_site_label
_atom_site_type_symbol
_atom_site_fract_x
_atom_site_fract_y
_atom_site_fract_z
_atom_site_occupancy
Ba1 Ba 0.0000 0.0000 0.0000 1
Ba2 Ba 0.1355 0.2831 0.3847 1
P1 P 0.0000 0.5000 0.7500 1
S1 S 0.0354 0.3036 0.6631 1
S2 S 0.1057 0.2930 0.1041 1
# **Energy**: -133.3 eV for the cell shown
# **Theoretical density**: 3.496 Mg/m³
# **Spin magnetization**: 0.023 μB per atom
# **N(E_F)**: 13.601 states/eV/f.u.
# **Formation energy (no corrections)**: -1.329 eV/atom

***

(2)
# LaReAs2, relaxed, DFT PBE
data_LaReAs2
_chemical_formula_sum 'La1 Re1 As2'
_space_group_name_H-M_alt 'P 4/m m m'
_space_group_IT_number 123
_space_group_name_Hall '-P 4 2'
_cell_length_a 3.2397
_cell_length_b 3.2397
_cell_length_c 7.3031
_cell_angle_alpha 90.00
_cell_angle_beta 90.00
_cell_angle_gamma 90.00
loop_
_atom_site_label
_atom_site_type_symbol
_atom_site_fract_x
_atom_site_fract_y
_atom_site_fract_z
_atom_site_occupancy
La1 La 0.0000 0.0000 0.0000 1
Re1 Re 0.0000 0.0000 0.5000 1
As1 As 0.5000 0.5000 0.3010 1
# **Polymorph energy (0 for the lowest one)**: 0.350 eV/atom
# **Energy**: -27.6 eV for the cell shown
# **Theoretical density**: 10.290 Mg/m³
# **Spin magnetization**: 0.000 μB per atom
# **N(E_F)**: 3.332 states/eV/f.u.
# **Energy of formation from the pure elements**: -0.222 eV per atom

***

(3)
# CaLaPd2, relaxed, DFT PBE
data_CaLaPd2
_chemical_formula_sum 'Ca2 La2 Pd4'
_space_group_name_H-M_alt 'I m m m'
_space_group_IT_number 71
_space_group_name_Hall '-I 2 2'
_cell_length_a 3.1956
_cell_length_b 5.7458
_cell_length_c 10.6183
_cell_angle_alpha 90.00
_cell_angle_beta 90.00
_cell_angle_gamma 90.00
loop_
_atom_site_label
_atom_site_type_symbol
_atom_site_fract_x
_atom_site_fract_y
_atom_site_fract_z
_atom_site_occupancy
Ca1 Ca 0.0000 0.0000 0.0000 1
La1 La 0.0000 0.0000 0.5000 1
Pd1 Pd 0.0000 0.0000 0.2527 1
# **Energy**: -33.4 eV for the cell shown
# **Theoretical density**: 6.674 Mg/m³
# **Spin magnetization**: 0.000 μB per atom
# **N(E_F)**: 3.445 states/eV/f.u.
# **Energy of formation from the pure elements**: 0.157 eV per atom

***

(4)
# LaPr2Nd4Dy, relaxed, DFT PBE
data_LaPr2Nd4Dy
_chemical_formula_sum 'La1 Pr2 Nd4 Dy1'
_space_group_name_H-M_alt 'P 1 2/m 1'
_space_group_IT_number 10
_cell_length_a 6.3500
_cell_length_b 3.6925
_cell_length_c 12.2538
_cell_angle_alpha 90.00
_cell_angle_beta 100.29
_cell_angle_gamma 90.00
loop_
_space_group_symop_operation_xyz
'x,y,z'
'-x,-y,-z'
'-x,y,-z'
'x,-y,z'
loop_
_atom_site_label
_atom_site_type_symbol
_atom_site_fract_x
_atom_site_fract_y
_atom_site_fract_z
_atom_site_occupancy
La1 La 0.0000 0.0000 0.0000 1
Pr1 Pr 0.0000 0.5000 0.5000 1
Pr2 Pr 0.5000 0.0000 0.5000 1
Nd1 Nd 0.2509 0.0000 0.7526 1
Nd2 Nd 0.2508 0.5000 0.2491 1
Dy1 Dy 0.5000 0.5000 0.0000 1
# **Energy**: -38.0 eV for the cell shown
# **Theoretical density**: 6.815 Mg/m³
# **Spin magnetization**: 0.000 μB per atom
# **N(E_F)**: 13.313 states/eV/f.u.
# **Energy of formation from the pure elements**: 0.017 eV per atom